Entry A
Compound: BaTlSb2
Source: Alexandria via LeMat-Bulk
Functional: GGA-PBEsol
Structure: optimized geometry

Structure (POSCAR):
```
BaTlSb2
1.0
4.726 0.000 0.000
0.000 5.140 0.000
-0.004 0.000 5.423
Ba Tl Sb
1 1 2
Direct
0.000 0.000 0.000
0.001 0.500 0.564
0.500 0.000 0.476
0.500 0.500 0.178
```

- symmetry = Pm, No. 6


Entry B
Compound: BaTlSb2
Source: Alexandria via LeMat-Bulk
Functional: GGA-PBEsol
Structure: optimized geometry

Structure (POSCAR):
```
BaTlSb2
1.0
5.338 -2.157 0.000
5.338 2.157 0.000
-1.822 0.000 5.563
Ba Tl Sb
1 1 2
Direct
0.000 0.000 0.000
0.236 0.236 0.709
0.497 0.497 0.485
0.769 0.769 0.347
```

- symmetry = Cm, No. 8


Result of the stability comparison: entry B is the least stable of them.


Entry A
Compound: FeReRh2
Source: Alexandria via LeMat-Bulk
Functional: GGA-PBEsol
Structure: optimized geometry

Structure (POSCAR):
```
FeReRh2
1.0
2.674 0.000 0.000
0.000 4.218 0.000
0.000 0.000 4.645
Fe Re Rh
1 1 2
Direct
0.000 0.000 0.000
0.000 0.500 0.680
0.500 0.000 0.506
0.500 0.500 0.164
```

- symmetry = Pmm2, No. 25


Entry B
Compound: FeReRh2
Source: Alexandria via LeMat-Bulk
Functional: GGA-PBEsol
Structure: optimized geometry

Structure (POSCAR):
```
FeReRh2
1.0
2.656 -3.744 0.000
2.656 3.744 0.000
0.000 0.000 2.668
Fe Re Rh
1 1 2
Direct
0.000 0.000 0.000
0.500 0.500 0.000
0.000 0.500 0.500
0.500 0.000 0.500
```

- symmetry = Cmmm, No. 65


Result of the stability comparison: entry B is the least stable of them.